The following is a PBE-GGA calculation of a relaxed FeNiGeAu crystal, from OQMD.

Calculated values
Its final energy is -84.9 eV for the cell shown. The calculation puts the excess energy over the best structure of this formula in the dataset at 68.9 meV per atom. The mass density is 11.2 g cm⁻³.

abc: 6.1126 6.1126 6.1126
angles: 90.00 90.00 90.00
Space group F-43m (No. 216)
One atom of each set of equivalent atoms:
Fe 0.0000 0.0000 0.0000
Ni 0.2500 0.2500 0.2500
Ge 0.2500 0.2500 0.7500
Au 0.0000 0.0000 0.5000